Entry 1:
Computed, not measured: a geometry-optimized Tb4Nd3In4 structure at the PBE level of DFT.

Cell lengths 9.9365, 9.9365, 9.9365 Å; angles 148.86, 138.22, 53.01 degrees
Last column: nearest neighbours and their distance in Å.
Atoms (fractional coordinates):
Tb: 0.0554 0.8213 0.2340  4 In 3.14-3.20, 1 Tb 3.32
Tb: 0.4127 0.1787 0.2340  4 In 3.14-3.20, 1 Tb 3.32
Tb: 0.5873 0.8213 0.7660  4 In 3.14-3.20, 1 Tb 3.32
Tb: 0.9446 0.1787 0.7660  4 In 3.14-3.20, 1 Tb 3.32
Nd: 0.0000 0.5000 0.5000  6 In 3.16-3.36
Nd: 0.3969 0.3969 0.0000  4 Tb 3.53, 6 In 3.57-3.78, 1 Nd 3.67
Nd: 0.6031 0.6031 0.0000  4 Tb 3.53, 6 In 3.57-3.78, 1 Nd 3.67
In: 0.1775 0.6775 0.5000  6 Tb 3.14-3.18, 1 Nd 3.16
In: 0.2873 0.0000 0.2873  1 In 3.01, 2 Tb 3.20, 2 Nd 3.36
In: 0.7127 0.0000 0.7127  1 In 3.01, 2 Tb 3.20, 2 Nd 3.36
In: 0.8225 0.3225 0.5000  6 Tb 3.14-3.18, 1 Nd 3.16

Calculated values
Uncorrected energy   -4.262 eV per atom
DOS at the Fermi energy   11.63 states/eV/f.u.
Total magnetization   0.0 μB per cell
Crystal system   orthorhombic
Theoretical density   7.55 g/cm3
Space-group type   No. 71

Entry 2:
Computed, not measured: a geometry-optimized KB4Pd3O12 structure at the PBE level of DFT.

Cell lengths 6.2338, 6.2338, 6.2338 Å; angles 102.44, 102.44, 102.44 degrees
Last column: nearest neighbours and their distance in Å.
Atoms (fractional coordinates):
K: 0.0000 0.0000 0.0000  6 O 2.56
B: 0.0602 0.5000 0.9398  3 O 1.36-1.43
B: 0.5000 0.5000 0.5000  3 O 1.39
B: 0.5000 0.9398 0.0602  3 O 1.36-1.43
B: 0.9398 0.0602 0.5000  3 O 1.36-1.43
Pd: 0.0000 0.5530 0.4470  6 O 1.99-2.13
Pd: 0.4470 0.0000 0.5530  6 O 1.99-2.13
Pd: 0.5530 0.4470 0.0000  6 O 1.99-2.13
O: 0.0075 0.6070 0.7756  1 B 1.36
O: 0.0867 0.9133 0.5000  1 B 1.43
O: 0.2244 0.3930 0.9925  1 B 1.36
O: 0.3570 0.6430 0.5000  1 B 1.39
O: 0.3930 0.9925 0.2244  1 B 1.36
O: 0.5000 0.0867 0.9133  1 B 1.43
O: 0.5000 0.3570 0.6430  1 B 1.39
O: 0.6070 0.7756 0.0075  1 B 1.36
O: 0.6430 0.5000 0.3570  1 B 1.39
O: 0.7756 0.0075 0.6070  1 B 1.36
O: 0.9133 0.5000 0.0867  1 B 1.43
O: 0.9925 0.2244 0.3930  1 B 1.36

Calculated values
Uncorrected energy   -6.529 eV per atom
DOS at the Fermi energy   4.23 states/eV/f.u.
Energy relative to the elements, uncorrected   -1384.8 meV/atom
Total magnetization   0.0 μB per cell
Crystal system   trigonal
Theoretical density   4.44 g/cm3
Space-group type   No. 155

Entry 3:
Computed, not measured: a geometry-optimized CaHRh2Au structure at the PBE level of DFT.

Cell lengths 4.1235, 4.1235, 4.2354 Å; angles 90.00, 90.00, 90.00 degrees
Last column: nearest neighbours and their distance in Å.
Atoms (fractional coordinates):
Ca: 0.0000 0.0000 0.0000  4 Au 2.92, 8 Rh 2.96
H: 0.5000 0.5000 0.5000  4 Rh 2.06, 2 Au 2.12
Rh: 0.0000 0.5000 0.5000  2 H 2.06
Rh: 0.5000 0.0000 0.5000  2 H 2.06
Au: 0.5000 0.5000 0.0000  2 H 2.12

Calculated values
Uncorrected energy   -4.844 eV per atom
DOS at the Fermi energy   5.83 states/eV/f.u.
Total magnetization   0.0 μB per cell
Crystal system   tetragonal
Polymorph energy (0 for the lowest one)   65.9 meV per atom
Theoretical density   10.23 g/cm3
Space-group type   No. 123

Entry 4:
Computed, not measured: a geometry-optimized Cd11Pd4Au9 structure at the PBE level of DFT.

Cell lengths 12.4995, 12.4995, 3.1572 Å; angles 90.00, 90.00, 111.84 degrees
Last column: nearest neighbours and their distance in Å.
Atoms (fractional coordinates):
Cd: 0.0000 0.0000 0.0000  8 Au 2.92, 2 Cd 3.16
Cd: 0.0529 0.4086 0.0000  2 Pd 2.86, 6 Au 2.91-3.07, 3 Cd 3.04-3.16
Cd: 0.1775 0.8225 0.0000  8 Au 2.95-2.98, 4 Cd 3.16-3.23
Cd: 0.2464 0.2464 0.0000  4 Pd 2.78, 4 Au 2.97
Cd: 0.3766 0.6234 0.0000  4 Pd 2.82, 6 Au 3.00-3.05, 2 Cd 3.16
Cd: 0.4086 0.0529 0.0000  2 Pd 2.86, 6 Au 2.91-3.07, 3 Cd 3.04-3.16
Cd: 0.5914 0.9471 0.0000  2 Pd 2.86, 6 Au 2.91-3.07, 3 Cd 3.04-3.16
Cd: 0.6234 0.3766 0.0000  4 Pd 2.82, 6 Au 3.00-3.05, 2 Cd 3.16
Cd: 0.7536 0.7536 0.0000  4 Pd 2.78, 4 Au 2.97
Cd: 0.8225 0.1775 0.0000  8 Au 2.95-2.98, 4 Cd 3.16-3.23
Cd: 0.9471 0.5914 0.0000  2 Pd 2.86, 6 Au 2.91-3.07, 3 Cd 3.04-3.16
Pd: 0.2507 0.4307 0.5000  6 Cd 2.78-2.86, 3 Au 2.91-3.09
Pd: 0.4307 0.2507 0.5000  6 Cd 2.78-2.86, 3 Au 2.91-3.09
Pd: 0.5693 0.7493 0.5000  6 Cd 2.78-2.86, 3 Au 2.91-3.09
Pd: 0.7493 0.5693 0.5000  6 Cd 2.78-2.86, 3 Au 2.91-3.09
Au: 0.0333 0.2064 0.5000  8 Cd 2.91-2.98, 1 Pd 3.09, 2 Au 3.16
Au: 0.1663 0.6192 0.5000  1 Pd 2.92, 8 Cd 2.94-3.07, 3 Au 3.00-3.16
Au: 0.2064 0.0333 0.5000  8 Cd 2.91-2.98, 1 Pd 3.09, 2 Au 3.16
Au: 0.3808 0.8337 0.5000  1 Pd 2.92, 8 Cd 2.94-3.07, 3 Au 3.00-3.16
Au: 0.5000 0.5000 0.5000  4 Pd 2.91, 4 Cd 3.00, 2 Au 3.16
Au: 0.6192 0.1663 0.5000  1 Pd 2.92, 8 Cd 2.94-3.07, 3 Au 3.00-3.16
Au: 0.7936 0.9667 0.5000  8 Cd 2.91-2.98, 1 Pd 3.09, 2 Au 3.16
Au: 0.8337 0.3808 0.5000  1 Pd 2.92, 8 Cd 2.94-3.07, 3 Au 3.00-3.16
Au: 0.9667 0.7936 0.5000  8 Cd 2.91-2.98, 1 Pd 3.09, 2 Au 3.16

Calculated values
Uncorrected energy   -2.724 eV per atom
DOS at the Fermi energy   9.05 states/eV/f.u.
Total magnetization   0.0 μB per cell
Crystal system   orthorhombic
Theoretical density   12.46 g/cm3
Space-group type   No. 65